Entry 1:
Material: NaTl2Sb2
Method: DFT, meta-GGA SCAN
State: PBEsol geometry

POSCAR file:
```
NaTl2Sb2
1.0
8.2189 0.0000 0.0000
0.0000 8.2189 0.0000
0.0000 0.0000 4.4131
Na Tl Sb
2 4 4
direct
0.0000 0.0000 0.0000
0.5000 0.5000 0.0000
0.1660 0.3340 0.5000
0.3340 0.8340 0.5000
0.6660 0.1660 0.5000
0.8340 0.6660 0.5000
0.1254 0.6254 0.0000
0.3746 0.1254 0.0000
0.6254 0.8746 0.0000
0.8746 0.3746 0.0000
```

Values from the calculation:
- energy relative to the lowest polymorph listed for this composition (meV per atom) = 0
- E_form (uncorrected) (meV per atom) = -78
- symmetry = P4/mbm (127)

Entry 2:
Material: LiPO2
Method: DFT, meta-GGA SCAN
State: PBEsol geometry

POSCAR file:
```
LiPO2
1.0
-2.1383 2.1383 5.0257
2.1383 -2.1383 5.0257
2.1383 2.1383 -5.0257
Li P O
2 2 4
direct
0.0000 0.0000 0.0000
0.7500 0.2500 0.5000
0.2500 0.7500 0.5000
0.5000 0.5000 0.0000
0.1595 0.6250 0.0345
0.3750 0.4095 0.5345
0.5905 0.1250 0.9655
0.8750 0.8405 0.4655
```

Values from the calculation:
- E_form (uncorrected) (meV per atom) = -1146
- symmetry = I-42d (122)

Entry 3:
Material: YCuAu2
Method: DFT, meta-GGA SCAN
State: PBEsol geometry

POSCAR file:
```
YCuAu2
1.0
-2.0996 2.1315 4.0106
2.0996 -2.1315 4.0106
2.0996 2.1315 -4.0106
Y Cu Au
1 1 2
direct
0.0000 0.0000 0.0000
0.7486 0.2486 0.5000
0.2520 0.7520 0.5000
0.5033 0.5033 0.0000
```

Values from the calculation:
- energy relative to the lowest polymorph listed for this composition (meV per atom) = 86
- symmetry = Imm2 (44)
- calculated formation energy (eV per formula unit) = -2.4

Entry 4:
Material: Tl2HgAu
Method: DFT, meta-GGA SCAN
State: PBEsol geometry

POSCAR file:
```
Tl2HgAu
1.0
4.0555 0.0000 0.0000
0.0000 4.8192 0.0000
0.0000 0.0000 4.8824
Tl Hg Au
2 1 1
direct
0.0000 0.0000 0.0000
0.0000 0.5000 0.5000
0.5000 0.0000 0.5000
0.5000 0.5000 0.0000
```

Values from the calculation:
- energy relative to the lowest polymorph listed for this composition (meV per atom) = 66
- symmetry = Pmmm (47)
- calculated formation energy (eV per formula unit) = 0.1